Computed, not measured: a geometry-optimized ScZnPt structure at the PBE level of DFT.

POSCAR file:
```
ScZnPt
1.0
3.1349 0.0000 0.0000
-1.5675 2.7149 0.0000
0.0000 0.0000 6.3154
Sc Zn Pt
1 1 1
direct
0.6667 0.3333 0.3224 Sc
0.3333 0.6667 0.6809 Zn
0.0000 0.0000 0.9967 Pt
```

Computed properties:
The space-group type is No. 156. The formation energy comes out at -43 kJ per mole of atoms.

Computed, not measured: a geometry-optimized KTcSb2 structure at the PBE level of DFT.

POSCAR file:
```
KTcSb2
1.0
3.2604 0.0000 0.0000
0.0000 4.2013 0.0000
0.0000 0.0000 8.6539
Sb K Tc
2 1 1
direct
0.5000 0.5000 0.3626 Sb
0.0000 0.0000 0.0383 Sb
0.5000 0.5000 0.7625 K
0.0000 0.0000 0.3366 Tc
```

Computed properties:
The space-group type is No. 25. The energy above the most stable polymorph in this dataset comes out at 339.3 meV per atom. For the uncorrected formation energy, the calculation gives 193 meV/atom.

Computed, not measured: a geometry-optimized ZrAgP2 structure at the PBE level of DFT.

POSCAR file:
```
ZrAgP2
1.0
8.2213 0.0031 0.0018
7.5981 3.1400 0.0018
7.5981 1.5096 2.7533
Zr P Ag
1 2 1
direct
0.5085 0.5085 0.5085 Zr
0.9875 0.9875 0.9875 P
0.2636 0.2636 0.2636 P
0.7405 0.7405 0.7405 Ag
```

Computed properties:
The space-group type is No. 160. The formation energy comes out at 1 kJ per mole of atoms. The energy above the most stable polymorph in this dataset comes out at 474.2 meV per atom.